# 1
VASP calculation (GGA-PBE) on Lu2SiPd after structural relaxation.

Output
**V**: 82 Å³/f.u.
**Magnetic moment**: 0.0 μB per formula unit
**Crystal system**: tetragonal
**SG**: P4/mmm
**ΔE_f (raw)**: -3.03 eV/f.u.
**E_tot**: -5.672 eV per atom

Cell lengths 3.629, 4.742, 4.742 Å; angles 90.00, 90.00, 90.00 degrees
Atoms (fractional coordinates):
Si 0.500 0.000 0.000
Lu 0.000 0.000 0.500
Lu 0.000 0.500 0.000
Pd 0.500 0.500 0.500



# 2
VASP calculation (GGA-PBE) on CsSb2IrI after structural relaxation.

Output
**V**: 173 Å³/f.u.
**Magnetic moment**: 0.0 μB per formula unit
**Crystal system**: tetragonal
**SG**: P4/mmm
**ΔE_f (raw)**: -0.11 eV/f.u.
**E_tot**: -3.925 eV per atom

Cell lengths 5.212, 5.212, 6.361 Å; angles 90.00, 90.00, 90.00 degrees
Atoms (fractional coordinates):
Cs 0.500 0.500 0.500
I 0.000 0.000 0.500
Ir 0.000 0.000 0.000
Sb 0.000 0.500 0.000
Sb 0.500 0.000 0.000



# 3
VASP calculation (GGA-PBE) on Ac2CdCu5 after structural relaxation.

Output
**V**: 183 Å³/f.u.
**Magnetic moment**: 0.0 μB per formula unit
**E_form**: -0.04 eV per atom
**Crystal system**: tetragonal
**SG**: I4mm
**E_tot**: -3.742 eV per atom

Cell lengths 6.368, 6.368, 6.368 Å; angles 90.26, 119.85, 119.85 degrees
Atoms (fractional coordinates):
Ac 0.500 0.236 0.736
Ac 0.500 0.736 0.236
Cd 0.000 0.997 0.997
Cu 0.392 0.685 0.685
Cu 0.000 0.685 0.293
Cu 0.000 0.293 0.685
Cu 0.608 0.293 0.293
Cu 0.000 0.299 0.299



# 4
VASP calculation (GGA-PBE) on ZnCu2Ni after structural relaxation.

Output
**V**: 48 Å³/f.u.
**Magnetic moment**: 0.0 μB per formula unit
**E_form**: -0.03 eV per atom
**Crystal system**: tetragonal
**SG**: P4/mmm
**E_tot**: -3.842 eV per atom

Cell lengths 2.656, 2.656, 6.870 Å; angles 90.00, 90.00, 90.00 degrees
Atoms (fractional coordinates):
Ni 0.500 0.500 0.250
Zn 0.500 0.500 0.750
Cu 0.000 0.000 0.011
Cu 0.000 0.000 0.489



# 5
VASP calculation (GGA-PBE) on LaSb2PdAu after structural relaxation.

Output
**V**: 137 Å³/f.u.
**Magnetic moment**: 0.0 μB per formula unit
**Crystal system**: tetragonal
**SG**: P4/mmm
**ΔE_f (raw)**: -1.72 eV/f.u.
**E_tot**: -4.672 eV per atom

Cell lengths 5.188, 5.106, 5.188 Å; angles 90.00, 90.00, 90.00 degrees
Atoms (fractional coordinates):
Sb 0.000 0.000 0.500
Sb 0.500 0.000 0.000
Au 0.000 0.500 0.000
Pd 0.000 0.000 0.000
La 0.500 0.500 0.500



# 6
VASP calculation (GGA-PBE) on LaAlP3 after structural relaxation.

Output
**V**: 104 Å³/f.u.
**Magnetic moment**: 0.0 μB per formula unit
**E_form**: -0.33 eV per atom
**Crystal system**: cubic
**SG**: Pm-3m
**E_tot**: -5.306 eV per atom

Cell lengths 4.707, 4.707, 4.707 Å; angles 90.00, 90.00, 90.00 degrees
Atoms (fractional coordinates):
P 0.000 0.500 0.000
P 0.000 0.000 0.500
P 0.500 0.000 0.000
Al 0.000 0.000 0.000
La 0.500 0.500 0.500